[1]
The following is a DFT calculation (GGA-PBEsol) of crystalline La2MgSc at its relaxed geometry.

Geometry as extended XYZ:
```
4
Lattice="1.7159 0.9907 11.4397 -1.7159 0.9907 11.4397 0.0000 -1.9813 11.4397" Properties=species:S:1:pos:R:3 pbc="T T T"
La 0.0000 0.0000 8.4844
La 0.0000 0.0000 25.8347
Mg 0.0000 0.0000 0.0000
Sc 0.0000 0.0000 17.1595
```

- Calculated total energy: -4.685 eV per atom
- SG: R-3m
- DFT formation energy: 0.07 eV per atom
- Crystal system: trigonal
- Size of the total moment: 0.000 μB/atom

=====

[2]
The following is a DFT calculation (GGA-PBEsol) of crystalline TbSi2IrRh at its relaxed geometry.

Geometry as extended XYZ:
```
5
Lattice="-2.0117 2.0117 4.9595 2.0117 -2.0117 4.9595 2.0117 2.0117 -4.9595" Properties=species:S:1:pos:R:3 pbc="T T T"
Tb 0.0000 0.0000 0.0000
Si 0.0000 0.0000 3.7568
Si 0.0000 0.0000 6.1622
Ir 0.0000 2.0117 2.4797
Rh 2.0117 0.0000 2.4797
```

- Calculated total energy: -8.050 eV per atom
- SG: I-4m2
- Crystal system: tetragonal
- Size of the total moment: 0.000 μB/atom
- E_form (uncorrected): -111.63 kJ/mol of atoms

=====

[3]
The following is a DFT calculation (GGA-PBEsol) of crystalline SrMg2Bi2 at its relaxed geometry.

Geometry as extended XYZ:
```
5
Lattice="4.8037 0.0000 0.0000 -2.4019 4.1602 0.0000 0.0000 0.0000 7.8992" Properties=species:S:1:pos:R:3 pbc="T T T"
Sr 0.0000 0.0000 0.0000
Mg 0.0000 2.7734 4.9466
Mg 2.4019 1.3867 2.9526
Bi 0.0000 2.7734 1.9713
Bi 2.4019 1.3867 5.9279
```

- Calculated total energy: -3.369 eV per atom
- SG: P-3m1
- DFT formation energy: -0.60 eV per atom
- Crystal system: trigonal
- Size of the total moment: 0.000 μB/atom

=====

[4]
The following is a DFT calculation (GGA-PBEsol) of crystalline CdAgAu2 at its relaxed geometry.

Geometry as extended XYZ:
```
4
Lattice="1.4684 0.8478 9.3298 -1.4684 0.8478 9.3298 0.0000 -1.6955 9.3298" Properties=species:S:1:pos:R:3 pbc="T T T"
Cd 0.0000 0.0000 0.0000
Ag 0.0000 0.0000 21.0116
Au 0.0000 0.0000 6.9692
Au 0.0000 0.0000 13.9653
```

- Calculated total energy: -3.133 eV per atom
- SG: R3m
- DFT formation energy: -0.04 eV per atom
- Crystal system: trigonal
- Size of the total moment: 0.000 μB/atom

=====

[5]
The following is a DFT calculation (GGA-PBEsol) of crystalline ZrSiSn3 at its relaxed geometry.

Geometry as extended XYZ:
```
5
Lattice="5.4318 0.0000 0.0000 0.0000 5.4318 0.0000 0.0000 0.0000 5.4318" Properties=species:S:1:pos:R:3 pbc="T T T"
Zr 0.0000 0.0000 0.0000
Si 2.7159 2.7159 2.7159
Sn 0.0000 0.0000 2.7159
Sn 0.0000 2.7159 0.0000
Sn 2.7159 0.0000 0.0000
```

- Calculated total energy: -4.705 eV per atom
- SG: Pm-3m
- Crystal system: cubic
- Size of the total moment: 0.001 μB/atom
- E_form (uncorrected): 78.94 kJ/mol of atoms

=====

[6]
The following is a DFT calculation (GGA-PBEsol) of crystalline DyBeCu4 at its relaxed geometry.

Geometry as extended XYZ:
```
6
Lattice="4.9881 0.0000 0.0000 -2.4940 4.3198 0.0000 0.0000 0.0000 3.7963" Properties=species:S:1:pos:R:3 pbc="T T T"
Dy 0.0000 0.0000 0.0000
Be 2.4940 1.4399 0.0000
Cu 0.0000 2.8799 0.0000
Cu 2.4940 0.0362 1.8981
Cu 1.2784 2.1418 1.8981
Cu 3.7097 2.1418 1.8981
```

- Calculated total energy: -4.547 eV per atom
- SG: P-6m2
- DFT formation energy: -0.16 eV per atom
- Crystal system: hexagonal
- Size of the total moment: 0.000 μB/atom

=====

[7]
The following is a DFT calculation (GGA-PBEsol) of crystalline BaCaCl2 at its relaxed geometry.

Geometry as extended XYZ:
```
4
Lattice="0.0000 4.0059 4.0059 4.0059 0.0000 4.0059 4.0059 4.0059 0.0000" Properties=species:S:1:pos:R:3 pbc="T T T"
Ba 0.0000 0.0000 0.0000
Ca 2.0030 2.0030 2.0030
Cl 4.0059 4.0059 4.0059
Cl 6.0089 6.0089 6.0089
```

- Calculated total energy: -2.961 eV per atom
- SG: F-43m
- Crystal system: cubic
- Size of the total moment: 0.000 μB/atom
- E_form (uncorrected): -85.58 kJ/mol of atoms
- ΔE to the lowest computed polymorph: 0.835 eV per atom

=====

[8]
The following is a DFT calculation (GGA-PBEsol) of crystalline Rb2PrAgF6 at its relaxed geometry.

Geometry as extended XYZ:
```
10
Lattice="0.0000 4.6484 4.6484 4.6484 0.0000 4.6484 4.6484 4.6484 0.0000" Properties=species:S:1:pos:R:3 pbc="T T T"
Rb 2.3242 2.3242 2.3242
Rb 6.9726 6.9726 6.9726
Pr 0.0000 0.0000 0.0000
Ag 4.6484 4.6484 4.6484
F 4.6484 4.6484 2.2645
F 4.6484 2.2645 4.6484
F 7.0324 4.6484 4.6484
F 2.2645 4.6484 4.6484
F 4.6484 7.0324 4.6484
F 4.6484 4.6484 7.0324
```

- Calculated total energy: -5.031 eV per atom
- SG: Fm-3m
- Crystal system: cubic
- Size of the total moment: 0.000 μB/atom
- E_form (uncorrected): -272.09 kJ/mol of atoms

=====

[9]
The following is a DFT calculation (GGA-PBEsol) of crystalline LiMg2Al at its relaxed geometry.

Geometry as extended XYZ:
```
4
Lattice="3.2281 0.0000 0.0000 0.0000 3.2281 0.0000 0.0000 0.0000 7.2561" Properties=species:S:1:pos:R:3 pbc="T T T"
Li 0.0000 0.0000 0.0000
Mg 0.0000 0.0000 3.9189
Mg 1.6141 1.6141 1.8024
Al 1.6141 1.6141 5.7646
```

- Calculated total energy: -2.395 eV per atom
- SG: P4mm
- DFT formation energy: -0.02 eV per atom
- Crystal system: tetragonal
- Size of the total moment: 0.000 μB/atom

=====

[10]
The following is a DFT calculation (GGA-PBEsol) of crystalline ReRh at its relaxed geometry.

Geometry as extended XYZ:
```
2
Lattice="0.0000 2.5247 2.5247 2.5247 0.0000 2.5247 2.5247 2.5247 0.0000" Properties=species:S:1:pos:R:3 pbc="T T T"
Re 0.0000 0.0000 0.0000
Rh 2.5247 2.5247 2.5247
```

- Calculated total energy: -9.405 eV per atom
- SG: Fm-3m
- DFT formation energy: 1.33 eV per atom
- Crystal system: cubic
- Size of the total moment: 0.000 μB/atom
- ΔE to the lowest computed polymorph: 1.534 eV per atom

=====

[11]
The following is a DFT calculation (GGA-PBEsol) of crystalline BaSrMnPd2 at its relaxed geometry.

Geometry as extended XYZ:
```
5
Lattice="4.9553 0.0000 0.0000 0.0000 4.9553 0.0000 0.0000 0.0000 5.1926" Properties=species:S:1:pos:R:3 pbc="T T T"
Ba 0.0000 0.0000 0.0000
Sr 2.4776 2.4776 0.0000
Mn 0.0000 0.0000 2.5963
Pd 0.0000 2.4776 2.5963
Pd 2.4776 0.0000 2.5963
```

- Calculated total energy: -4.787 eV per atom
- SG: P4/mmm
- DFT formation energy: 0.35 eV per atom
- Crystal system: tetragonal
- Size of the total moment: 0.659 μB/atom

=====

[12]
The following is a DFT calculation (GGA-PBEsol) of crystalline AsRhPb2 at its relaxed geometry.

Geometry as extended XYZ:
```
4
Lattice="3.2723 0.0000 0.0000 0.0000 3.2723 0.0000 0.0000 0.0000 7.8640" Properties=species:S:1:pos:R:3 pbc="T T T"
As 0.0000 0.0000 0.0000
Rh 0.0000 0.0000 3.9320
Pb 1.6361 1.6361 2.1973
Pb 1.6361 1.6361 5.6667
```

- Calculated total energy: -5.147 eV per atom
- SG: P4/mmm
- DFT formation energy: 0.16 eV per atom
- Crystal system: tetragonal
- Size of the total moment: 0.000 μB/atom

=====

Copy entry 4 word for word.
The following is a DFT calculation (GGA-PBEsol) of crystalline CdAgAu2 at its relaxed geometry.

Geometry as extended XYZ:
```
4
Lattice="1.4684 0.8478 9.3298 -1.4684 0.8478 9.3298 0.0000 -1.6955 9.3298" Properties=species:S:1:pos:R:3 pbc="T T T"
Cd 0.0000 0.0000 0.0000
Ag 0.0000 0.0000 21.0116
Au 0.0000 0.0000 6.9692
Au 0.0000 0.0000 13.9653
```

- Calculated total energy: -3.133 eV per atom
- SG: R3m
- DFT formation energy: -0.04 eV per atom
- Crystal system: trigonal
- Size of the total moment: 0.000 μB/atom

=====

What did the eighth record say?
The following is a DFT calculation (GGA-PBEsol) of crystalline Rb2PrAgF6 at its relaxed geometry.

Geometry as extended XYZ:
```
10
Lattice="0.0000 4.6484 4.6484 4.6484 0.0000 4.6484 4.6484 4.6484 0.0000" Properties=species:S:1:pos:R:3 pbc="T T T"
Rb 2.3242 2.3242 2.3242
Rb 6.9726 6.9726 6.9726
Pr 0.0000 0.0000 0.0000
Ag 4.6484 4.6484 4.6484
F 4.6484 4.6484 2.2645
F 4.6484 2.2645 4.6484
F 7.0324 4.6484 4.6484
F 2.2645 4.6484 4.6484
F 4.6484 7.0324 4.6484
F 4.6484 4.6484 7.0324
```

- Calculated total energy: -5.031 eV per atom
- SG: Fm-3m
- Crystal system: cubic
- Size of the total moment: 0.000 μB/atom
- E_form (uncorrected): -272.09 kJ/mol of atoms

=====

Number 3 is which compound?
SrMg2Bi2